# 1
Here is an optimized crystal structure of KLuHgS3 from OQMD via LeMat-Bulk. Energies are from PBE.

For the total magnetization, the calculation gives 0.01 μB/cell. The raw total energy is -102.63 eV/cell.

It has space group Pnma (No. 62), with a = 10.620 Å, b = 4.048 Å, c = 14.540 Å, α = 90.00°, β = 90.00° and γ = 90.00°. The distinct sites, in fractional coordinates, are K at (0.239, 0.250, 0.010), Lu at (0.014, 0.750, 0.255), Hg at (0.236, 0.750, 0.800), S at (0.022, 0.750, 0.868), S at (0.057, 0.250, 0.378) and S at (0.234, 0.250, 0.684).



# 2
Here is an optimized crystal structure of KLuHgS3 from OQMD via LeMat-Bulk. Energies are from PBE.

For the total magnetization, the calculation gives 0.00 μB/cell. The raw total energy is -100.10 eV/cell.

It has space group Pnma (No. 62), with a = 8.109 Å, b = 4.408 Å, c = 15.900 Å, α = 90.00°, β = 90.00° and γ = 90.00°. The distinct sites, in fractional coordinates, are K at (0.068, 0.250, 0.196), Lu at (0.221, 0.250, 0.964), Hg at (0.084, 0.250, 0.655), S at (0.015, 0.750, 0.576), S at (0.123, 0.750, 0.043) and S at (0.225, 0.250, 0.799).



Question: total magnetization of number 1 (KLuHgS3)?
Answer: 0.01 μB/cell



Question: Which value of raw total energy does entry 2 give?
Answer: -100.10 eV/cell